Below is a relaxed structure of Ga2AgSn2Pd5, with properties calculated at the PBE level.

```
Ga2AgSn2Pd5
1.0
-1.7333 -2.3849 1.7563
6.0042 -7.2182 -3.8759
6.3877 1.1153 7.8185
Ga Ag Sn Pd
4 2 4 10
Direct
0.0000 0.1389 0.6389 Ga
0.0000 0.8611 0.3611 Ga
0.0000 0.6389 0.8611 Ga
0.0000 0.3611 0.1389 Ga
0.0000 0.0000 0.0000 Ag
0.0000 0.5000 0.5000 Ag
0.0000 0.6714 0.1714 Sn
0.0000 0.3286 0.8286 Sn
0.0000 0.1714 0.3286 Sn
0.0000 0.8286 0.6714 Sn
0.5000 0.2164 0.0126 Pd
0.5000 0.7836 0.9874 Pd
0.5000 0.0126 0.7836 Pd
0.5000 0.7164 0.4874 Pd
0.5000 0.9874 0.2164 Pd
0.5000 0.2836 0.5126 Pd
0.5000 0.5126 0.7164 Pd
0.5000 0.4874 0.2836 Pd
0.5000 0.5000 0.0000 Pd
0.5000 0.0000 0.5000 Pd
```

Values from the calculation:
M_tot: 0.00 μB per cell
ΔE_f: -350 meV/atom
crystal system: tetragonal
uncorrected energy: -4.638 eV/atom

***

Below is a relaxed structure of SrGa4Ag2Pd, with properties calculated at the PBE level.

```
SrGa4Ag2Pd
1.0
4.4402 0.0000 0.0000
2.2201 3.8453 0.0000
2.2201 1.2818 9.4678
Sr Ga Ag Pd
1 4 2 1
Direct
0.0000 0.0000 0.0000 Sr
0.4047 0.4047 0.7860 Ga
0.8668 0.8668 0.3995 Ga
0.1332 0.1332 0.6005 Ga
0.5953 0.5953 0.2140 Ga
0.7624 0.7624 0.7129 Ag
0.2376 0.2376 0.2871 Ag
0.5000 0.5000 0.5000 Pd
```

Values from the calculation:
M_tot: 0.00 μB per cell
ΔE_f: -304 meV/atom
crystal system: trigonal
uncorrected energy: -3.390 eV/atom

***

Below is a relaxed structure of Sr2Ga3AgPd4, with properties calculated at the PBE level.

```
Sr2Ga3AgPd4
1.0
4.4374 0.0000 0.0000
0.0000 4.4374 0.0000
0.0000 0.0000 10.5788
Sr Ga Ag Pd
2 3 1 4
Direct
0.5000 0.0000 0.2495 Sr
0.0000 0.5000 0.7505 Sr
0.0000 0.0000 0.5000 Ga
0.5000 0.0000 0.8814 Ga
0.0000 0.5000 0.1186 Ga
0.5000 0.5000 0.5000 Ag
0.5000 0.5000 0.0000 Pd
0.0000 0.0000 0.0000 Pd
0.5000 0.0000 0.6457 Pd
0.0000 0.5000 0.3543 Pd
```

Values from the calculation:
M_tot: 0.00 μB per cell
ΔE_f: -634 meV/atom
crystal system: tetragonal
uncorrected energy: -4.241 eV/atom

***

Question: Which value of uncorrected energy does entry 1 give?
Answer: -4.638 eV/atom